HfBr2F | PBE | relaxed

Values from the calculation:
Magnetic moment ... 1.0 μB/f.u.
Formation energy from raw total energies ... -1800 meV/atom
Distance to the lowest polymorph of the same formula ... 0 meV per atom

Cell lengths 9.951, 9.951, 4.165 Å; angles 90.00, 90.00, 90.00 degrees
Space group I-42d (No. 122)
Inequivalent atoms, fractional coordinates:
Hf  0.000  0.000  0.000 [4 per cell]
Br  0.092  0.250  0.125 [8 per cell]
F  0.000  0.000  0.500 [4 per cell]


HfIn2Br5F | PBE | relaxed

Values from the calculation:
Magnetic moment ... 0.0 μB/f.u.
Formation energy from raw total energies ... -1391 meV/atom

Cell lengths 7.608, 7.608, 11.046 Å; angles 90.00, 90.00, 90.00 degrees
Space group I4mm (No. 107)
Inequivalent atoms, fractional coordinates:
Hf  0.000  0.000  0.000 [2 per cell]
In  0.000  0.500  0.178 [4 per cell]
Br  0.000  0.000  0.239 [2 per cell]
Br  0.246  0.246  0.005 [8 per cell]
F  0.000  0.000  0.825 [2 per cell]


K2HfBr4F2 | PBE | relaxed

Values from the calculation:
Magnetic moment ... 0.0 μB/f.u.
Formation energy from raw total energies ... -2207 meV/atom

Cell lengths 11.795, 7.685, 5.942 Å; angles 90.00, 104.58, 90.00 degrees
Space group C2/m (No. 12)
Inequivalent atoms, fractional coordinates:
K  0.181  0.000  0.328 [4 per cell]
Hf  0.000  0.500  0.000 [2 per cell]
Br  0.097  0.251  0.804 [8 per cell]
F  0.139  0.500  0.270 [4 per cell]


HfBrN2F | PBE | relaxed

Values from the calculation:
Magnetic moment ... 0.0 μB/f.u.
Formation energy from raw total energies ... -292 meV/atom
Distance to the lowest polymorph of the same formula ... 0 meV per atom

Cell lengths 4.265, 4.265, 4.042 Å; angles 90.00, 90.00, 90.00 degrees
Space group P4/mmm (No. 123)
Inequivalent atoms, fractional coordinates:
Hf  0.000  0.000  0.000 [1 per cell]
Br  0.500  0.500  0.500 [1 per cell]
N  0.000  0.500  0.000 [2 per cell]
F  0.000  0.000  0.500 [1 per cell]


HfBrN2F | PBE | relaxed

Values from the calculation:
Magnetic moment ... 0.0 μB/f.u.
Formation energy from raw total energies ... 1184 meV/atom
Distance to the lowest polymorph of the same formula ... 1476 meV per atom

Cell lengths 4.145, 4.145, 3.997 Å; angles 90.00, 90.00, 90.00 degrees
Space group P4/mmm (No. 123)
Inequivalent atoms, fractional coordinates:
Hf  0.000  0.000  0.000 [1 per cell]
Br  0.500  0.500  0.500 [1 per cell]
N  0.000  0.500  0.500 [2 per cell]
F  0.500  0.500  0.000 [1 per cell]


HfBrO2F | PBE | relaxed

Values from the calculation:
Magnetic moment ... 2.0 μB/f.u.
Formation energy from raw total energies ... -2019 meV/atom

Cell lengths 4.178, 4.178, 4.197 Å; angles 90.00, 90.00, 90.00 degrees
Space group P4/mmm (No. 123)
Inequivalent atoms, fractional coordinates:
Hf  0.000  0.000  0.000 [1 per cell]
Br  0.500  0.500  0.500 [1 per cell]
O  0.000  0.500  0.000 [2 per cell]
F  0.000  0.000  0.500 [1 per cell]


HfBrO2F | PBE | relaxed

Values from the calculation:
Magnetic moment ... 1.3 μB/f.u.
Formation energy from raw total energies ... 221 meV/atom

Cell lengths 3.938, 3.938, 5.031 Å; angles 90.00, 90.00, 90.00 degrees
Space group P4/mmm (No. 123)
Inequivalent atoms, fractional coordinates:
Hf  0.000  0.000  0.000 [1 per cell]
Br  0.500  0.500  0.500 [1 per cell]
O  0.000  0.500  0.500 [2 per cell]
F  0.500  0.500  0.000 [1 per cell]


HfBrOF2 | PBE | relaxed

Values from the calculation:
Magnetic moment ... 1.0 μB/f.u.
Formation energy from raw total energies ... -2476 meV/atom
Distance to the lowest polymorph of the same formula ... 0 meV per atom

Cell lengths 4.235, 4.235, 4.123 Å; angles 90.00, 90.00, 90.00 degrees
Space group P4/mmm (No. 123)
Inequivalent atoms, fractional coordinates:
Hf  0.000  0.000  0.000 [1 per cell]
Br  0.500  0.500  0.500 [1 per cell]
O  0.000  0.000  0.500 [1 per cell]
F  0.000  0.500  0.000 [2 per cell]


HfBrOF2 | PBE | relaxed

Values from the calculation:
Magnetic moment ... 1.2 μB/f.u.
Formation energy from raw total energies ... 69 meV/atom
Distance to the lowest polymorph of the same formula ... 2544 meV per atom

Cell lengths 4.984, 4.984, 3.637 Å; angles 90.00, 90.00, 90.00 degrees
Space group P4/mmm (No. 123)
Inequivalent atoms, fractional coordinates:
Hf  0.000  0.000  0.000 [1 per cell]
Br  0.500  0.500  0.500 [1 per cell]
O  0.500  0.500  0.000 [1 per cell]
F  0.000  0.500  0.500 [2 per cell]


HfPb2BrF | PBE | relaxed

Values from the calculation:
Magnetic moment ... 0.0 μB/f.u.
Formation energy from raw total energies ... -396 meV/atom

Cell lengths 5.940, 5.940, 3.994 Å; angles 90.00, 90.00, 90.00 degrees
Space group P4/mmm (No. 123)
Inequivalent atoms, fractional coordinates:
Hf  0.000  0.000  0.000 [1 per cell]
Pb  0.000  0.500  0.500 [2 per cell]
Br  0.500  0.500  0.000 [1 per cell]
F  0.000  0.000  0.500 [1 per cell]


Hf2PbBrF | PBE | relaxed

Values from the calculation:
Magnetic moment ... 0.0 μB/f.u.
Formation energy from raw total energies ... -113 meV/atom

Cell lengths 4.451, 4.451, 5.848 Å; angles 90.00, 90.00, 90.00 degrees
Space group P4/mmm (No. 123)
Inequivalent atoms, fractional coordinates:
Hf  0.000  0.500  0.000 [2 per cell]
Pb  0.000  0.000  0.500 [1 per cell]
Br  0.500  0.500  0.500 [1 per cell]
F  0.000  0.000  0.000 [1 per cell]


HfPtBr2F | PBE | relaxed

Values from the calculation:
Magnetic moment ... 0.0 μB/f.u.
Formation energy from raw total energies ... -269 meV/atom

Cell lengths 5.154, 5.154, 3.954 Å; angles 90.00, 90.00, 90.00 degrees
Space group P4/mmm (No. 123)
Inequivalent atoms, fractional coordinates:
Hf  0.000  0.000  0.000 [1 per cell]
Pt  0.500  0.500  0.000 [1 per cell]
Br  0.000  0.500  0.500 [2 per cell]
F  0.000  0.000  0.500 [1 per cell]